Record 1
An optimized crystal structure of SmTmN, computed with PBE-GGA.

The structure belongs to space group R3m (No. 160, hexagonal axes); the cell edges are 3.5041, 3.5041 and 18.0403 Å and the angles 90.00°, 90.00° and 120.00°. The distinct sites, in fractional coordinates, are Sm at (0.0000, 0.0000, 0.0000), Tm at (0.0000, 0.0000, 0.5167) and N at (0.0000, 0.0000, 0.2474).

The calculation puts the excess energy over the best structure of this formula in the dataset at 0.000 kcal/mol of atoms. As for the density of states at the Fermi level: 7.61 states/eV/cell. As for the energy relative to the elements, uncorrected: -1.04 eV/atom. The value obtained for the magnetic moment is 0.46 μB/f.u.

Record 2
An optimized crystal structure of Sm2Tm4N, computed with PBE-GGA.

The structure belongs to space group I4/mmm (No. 139); the cell edges are 4.711, 4.711 and 17.707 Å and the angles 90.00°, 90.00° and 90.00°. The distinct sites, in fractional coordinates, are Sm at (0.000, 0.000, 0.174), Tm at (0.000, 0.000, 0.370), Tm at (0.000, 0.500, 0.000) and N at (0.000, 0.000, 0.500).

As for the density of states at the Fermi level: 18.88 states/eV/cell. As for the energy relative to the elements, uncorrected: -0.30 eV/atom. The value obtained for the magnetic moment is 0.00 μB/f.u.

Record 3
An optimized crystal structure of SmTm2N, computed with PBE-GGA.

The structure belongs to space group R-3m (No. 166, hexagonal axes); the cell edges are 3.3988, 3.3988 and 28.4247 Å and the angles 90.00°, 90.00° and 120.00°. The distinct sites, in fractional coordinates, are Sm at (0.0000, 0.0000, 0.0000), Tm at (0.0000, 0.0000, 0.1205) and N at (0.0000, 0.0000, 0.5000).

The calculation puts the excess energy over the best structure of this formula in the dataset at 0.000 kcal/mol of atoms. As for the density of states at the Fermi level: 13.83 states/eV/cell. As for the energy relative to the elements, uncorrected: -0.72 eV/atom. The value obtained for the magnetic moment is 0.00 μB/f.u.

Record 4
An optimized crystal structure of SmTm5N6, computed with PBE-GGA.

The structure belongs to space group C2/m (No. 12); the cell edges are 5.950, 10.308 and 5.948 Å and the angles 90.00°, 109.47° and 90.00°. The distinct sites, in fractional coordinates, are Sm at (0.000, 0.000, 0.000), Tm at (0.000, 0.168, 0.500), Tm at (0.000, 0.333, 0.000), Tm at (0.000, 0.500, 0.500), N at (0.244, 0.500, 0.254) and N at (0.245, 0.330, 0.746).

As for the density of states at the Fermi level: 0.60 states/eV/cell. As for the energy relative to the elements, uncorrected: -1.75 eV/atom. The value obtained for the magnetic moment is 0.00 μB/f.u.

Record 5
An optimized crystal structure of Sm2TmN, computed with PBE-GGA.

The structure belongs to space group R-3m (No. 166, hexagonal axes); the cell edges are 3.5289, 3.5289 and 28.4949 Å and the angles 90.00°, 90.00° and 120.00°. The distinct sites, in fractional coordinates, are Sm at (0.0000, 0.0000, 0.1189), Tm at (0.0000, 0.0000, 0.0000) and N at (0.0000, 0.0000, 0.5000).

As for the density of states at the Fermi level: 14.34 states/eV/cell. As for the energy relative to the elements, uncorrected: -0.57 eV/atom. The value obtained for the magnetic moment is 0.00 μB/f.u.

Record 6
An optimized crystal structure of Sm3TmN4, computed with PBE-GGA.

The structure belongs to space group P2/c (No. 13); the cell edges are 6.137, 7.092 and 6.135 Å and the angles 90.00°, 109.46° and 90.00°. The distinct sites, in fractional coordinates, are Sm at (0.000, 0.124, 0.250), Sm at (0.000, 0.372, 0.750), Sm at (0.500, 0.372, 0.250), Tm at (0.500, 0.124, 0.750), N at (0.253, 0.368, 0.505) and N at (0.259, 0.123, 0.998).

The calculation puts the excess energy over the best structure of this formula in the dataset at 0.000 kcal/mol of atoms. As for the density of states at the Fermi level: 1.27 states/eV/cell. As for the energy relative to the elements, uncorrected: -1.55 eV/atom. The value obtained for the magnetic moment is 0.00 μB/f.u.

Record 7
An optimized crystal structure of SmTm4N5, computed with PBE-GGA.

The structure belongs to space group I4/mmm (No. 139); the cell edges are 3.446, 3.446 and 24.334 Å and the angles 90.00°, 90.00° and 90.00°. The distinct sites, in fractional coordinates, are Sm at (0.000, 0.000, 0.000), Tm at (0.000, 0.000, 0.201), Tm at (0.000, 0.000, 0.397), N at (0.000, 0.000, 0.103), N at (0.000, 0.000, 0.299) and N at (0.000, 0.000, 0.500).

As for the density of states at the Fermi level: 0.89 states/eV/cell. As for the energy relative to the elements, uncorrected: -1.74 eV/atom. The value obtained for the magnetic moment is 0.00 μB/f.u.

Record 8
An optimized crystal structure of SmTm2N, computed with PBE-GGA.

The structure belongs to space group P4/mmm (No. 123); the cell edges are 3.139, 3.139 and 8.753 Å and the angles 90.00°, 90.00° and 90.00°. The distinct sites, in fractional coordinates, are Sm at (0.000, 0.000, 0.000), Tm at (0.500, 0.500, 0.340) and N at (0.000, 0.000, 0.500).

The calculation puts the excess energy over the best structure of this formula in the dataset at 11.868 kcal/mol of atoms. As for the density of states at the Fermi level: 4.32 states/eV/cell. As for the energy relative to the elements, uncorrected: -0.21 eV/atom. The value obtained for the magnetic moment is 0.00 μB/f.u.